[1]
! Rb4Na5Cd PBE optimized geometry; values from VASP
&SYSTEM
  ibrav = 0, nat = 10, ntyp = 3
/
ATOMIC_SPECIES
Na 22.99 Na.upf
Rb 85.47 Rb.upf
Cd 112.41 Cd.upf
CELL_PARAMETERS angstrom
6.078 0.000 2.844
3.039 8.973 1.422
-0.764 0.000 9.549
ATOMIC_POSITIONS crystal
Na 0.318 0.000 0.000
Na 0.867 0.000 0.332
Na 0.199 0.000 0.668
Na 0.867 0.332 0.000
Na 0.199 0.668 0.000
Rb 0.265 0.293 0.293
Rb 0.851 0.707 0.707
Rb 0.558 0.293 0.707
Rb 0.558 0.707 0.293
Cd 0.809 0.000 0.000
! Volume, Å³/atom: 54.0
! Formation energy from the elements, meV/atom: 12
! Electronic total energy, eV for the cell shown: -11.263
! Total magnetic moment, μB/f.u.: 0.00

***

[2]
! Rb2NaCd2 PBE optimized geometry; values from VASP
&SYSTEM
  ibrav = 0, nat = 5, ntyp = 3
/
ATOMIC_SPECIES
Rb 85.47 Rb.upf
Cd 112.41 Cd.upf
Na 22.99 Na.upf
CELL_PARAMETERS angstrom
-3.996 -1.769 3.697
2.612 -4.682 5.016
1.773 1.353 6.996
ATOMIC_POSITIONS crystal
Rb 0.301 0.199 0.699
Rb 0.699 0.801 0.301
Cd 0.000 0.756 0.744
Cd 0.000 0.244 0.256
Na 0.500 0.500 0.000
! Energy above the lowest structure with this stoichiometry, meV/atom: 8
! Volume, Å³/atom: 43.7
! Formation energy from the elements, meV/atom: -35
! Electronic total energy, eV for the cell shown: -5.261
! Total magnetic moment, μB/f.u.: 0.00

***

[3]
! Rb3Na9Cd2 PBE optimized geometry; values from VASP
&SYSTEM
  ibrav = 0, nat = 14, ntyp = 3
/
ATOMIC_SPECIES
Na 22.99 Na.upf
Rb 85.47 Rb.upf
Cd 112.41 Cd.upf
CELL_PARAMETERS angstrom
-5.443 -1.468 -0.123
-0.240 -9.494 -5.332
-1.019 -7.691 7.643
ATOMIC_POSITIONS crystal
Na 0.334 0.317 0.015
Na 0.666 0.683 0.985
Na 0.666 0.985 0.683
Na 0.112 0.605 0.170
Na 0.112 0.170 0.605
Na 0.888 0.395 0.830
Na 0.888 0.830 0.395
Na 0.334 0.015 0.317
Na 0.000 0.500 0.500
Rb 0.685 0.315 0.315
Rb 0.315 0.685 0.685
Rb 0.000 0.000 0.000
Cd 0.500 0.691 0.309
Cd 0.500 0.309 0.691
! Volume, Å³/atom: 43.5
! Formation energy from the elements, meV/atom: 17
! Electronic total energy, eV for the cell shown: -16.363
! Total magnetic moment, μB/f.u.: 0.00